Entry 1:
First-principles (PBE-GGA) data for a relaxed Ba4CrAu crystal, as listed in the Alexandria database.

Properties
Formation energy from the elements: 4.5 eV/f.u.
N(E_F): 7.97 states/eV/f.u.
Calculated total energy: -16.103 eV per formula unit

POSCAR file:
```
Ba4CrAu
1.0
0.0000 5.0727 5.0727
5.0727 0.0000 5.0727
5.0727 5.0727 0.0000
Ba Cr Au
4 1 1
Direct
0.1255 0.1255 0.1255 Ba
0.1255 0.1255 0.6236 Ba
0.1255 0.6236 0.1255 Ba
0.6236 0.1255 0.1255 Ba
0.7500 0.7500 0.7500 Cr
0.5000 0.5000 0.5000 Au
```

---

Entry 2:
First-principles (PBE-GGA) data for a relaxed ReHg2 crystal, as listed in the Alexandria database.

Properties
Formation energy from the elements: 1.7 eV/f.u.
N(E_F): 1.30 states/eV/f.u.
Calculated total energy: -11.346 eV per formula unit
Energy above the lowest structure with this stoichiometry: 1.7 kJ/mol of atoms

POSCAR file:
```
ReHg2
1.0
3.2509 0.0000 0.0000
0.0000 5.4539 0.0000
0.0000 0.0000 15.6832
Re Hg
4 8
Direct
0.2440 0.2500 0.1959 Re
0.2560 0.7500 0.6959 Re
0.7440 0.2500 0.3041 Re
0.7560 0.7500 0.8041 Re
0.2433 0.7500 0.1593 Hg
0.2446 0.2500 0.4618 Hg
0.2554 0.7500 0.9618 Hg
0.2567 0.2500 0.6593 Hg
0.7433 0.7500 0.3407 Hg
0.7446 0.2500 0.0382 Hg
0.7554 0.7500 0.5382 Hg
0.7567 0.2500 0.8407 Hg
```

---

Entry 3:
First-principles (PBE-GGA) data for a relaxed TeAsS3 crystal, as listed in the Alexandria database.

Properties
Formation energy (no corrections): 0.054 eV per atom
Calculated total energy: -19.904 eV per formula unit
Energy above the lowest structure with this stoichiometry: 2.5 kJ/mol of atoms

POSCAR file:
```
TeAsS3
1.0
9.2639 0.0000 0.0000
0.0000 3.5818 0.0000
-3.9220 0.0000 9.4637
Te As S
2 2 6
Direct
0.1021 0.2500 0.2001 Te
0.8979 0.7500 0.7999 Te
0.4520 0.2500 0.6752 As
0.5480 0.7500 0.3248 As
0.1051 0.2500 0.9011 S
0.3228 0.7500 0.3703 S
0.4979 0.2500 0.1643 S
0.5021 0.7500 0.8357 S
0.6772 0.2500 0.6297 S
0.8949 0.7500 0.0989 S
```

---

Entry 4:
First-principles (PBE-GGA) data for a relaxed Sr2Zn7Hg crystal, as listed in the Alexandria database.

Properties
Formation energy from the elements: -2.3 eV/f.u.
N(E_F): 5.14 states/eV/f.u.
Calculated total energy: -14.849 eV per formula unit

POSCAR file:
```
Sr2Zn7Hg
1.0
4.4350 0.0000 0.0000
0.0000 4.4350 0.0000
0.0000 0.0000 10.9905
Sr Zn Hg
2 7 1
Direct
0.0000 0.5000 0.2414 Sr
0.5000 0.0000 0.7586 Sr
0.0000 0.0000 0.0000 Zn
0.0000 0.5000 0.6449 Zn
0.0000 0.5000 0.8776 Zn
0.5000 0.0000 0.1224 Zn
0.5000 0.0000 0.3551 Zn
0.5000 0.5000 0.0000 Zn
0.5000 0.5000 0.5000 Zn
0.0000 0.0000 0.5000 Hg
```

---

- The lowest calculated total energy belongs to which entry?
  TeAsS3